1.
The following is a DFT calculation (PBE) of a relaxed AgBi2Cl2 crystal.

Properties
E_form (uncorrected) in kcal/mol of atoms: -7.81
Symmetry: No. 127
DFT total energy in eV per atom: -3.20
Magnetization in μB/cell: 0.0

Cell: 7.5574 7.5574 5.4541 Å, 90.00 90.00 90.00°
Element x y z (fractional)
Ag 0.0000 0.0000 0.0000
Ag 0.5000 0.5000 0.0000
Bi 0.1485 0.3515 0.0000
Bi 0.3515 0.8515 0.0000
Bi 0.6485 0.1485 0.0000
Bi 0.8515 0.6485 0.0000
Cl 0.1820 0.3180 0.5000
Cl 0.3180 0.8180 0.5000
Cl 0.6820 0.1820 0.5000
Cl 0.8180 0.6820 0.5000

***

2.
The following is a DFT calculation (PBE) of a relaxed TeP2HPt crystal.

Properties
Symmetry: No. 123
DFT total energy in eV per atom: -3.61
Magnetization in μB/cell: 0.0

Cell: 4.5362 4.5362 5.8600 Å, 90.00 90.00 90.00°
Element x y z (fractional)
Te 0.0000 0.0000 0.0000
P 0.0000 0.5000 0.5000
P 0.5000 0.0000 0.5000
H 0.5000 0.5000 0.0000
Pt 0.0000 0.0000 0.5000

***

3.
The following is a DFT calculation (PBE) of a relaxed Be2Sn2Pb crystal.

Properties
Symmetry: No. 127
DFT total energy in eV per atom: -3.26
ΔE_f in eV per atom: 0.5707
Magnetization in μB/cell: 0.0
Polymorph energy (0 for the lowest one) in meV per atom: 161

Cell: 8.2864 8.2864 3.0999 Å, 90.00 90.00 90.00°
Element x y z (fractional)
Be 0.1355 0.3645 0.0000
Be 0.3645 0.8645 0.0000
Be 0.6355 0.1355 0.0000
Be 0.8645 0.6355 0.0000
Sn 0.1481 0.6481 0.5000
Sn 0.3519 0.1481 0.5000
Sn 0.6481 0.8519 0.5000
Sn 0.8519 0.3519 0.5000
Pb 0.0000 0.0000 0.5000
Pb 0.5000 0.5000 0.5000

***

4.
The following is a DFT calculation (PBE) of a relaxed TaPPtRhAuI crystal.

Properties
E_form (uncorrected) in kcal/mol of atoms: -3.79
Symmetry: No. 6
DFT total energy in eV per atom: -6.08
Magnetization in μB/cell: 0.0
Polymorph energy (0 for the lowest one) in meV per atom: 13

Cell: 4.3143 4.6062 6.3312 Å, 90.00 101.47 90.00°
Element x y z (fractional)
Ta 0.0000 0.0000 0.0000
P 0.8249 0.5000 0.2915
Pt 0.2752 0.5000 0.1304
Rh 0.6343 0.0000 0.2383
Au 0.9780 0.5000 0.6968
I 0.4578 0.0000 0.6660

***

5.
The following is a DFT calculation (PBE) of a relaxed Y2HoEr crystal.

Properties
Symmetry: No. 1
DFT total energy in eV per atom: -5.52
ΔE_f in eV per atom: 0.0014
Magnetization in μB/cell: 0.0
Polymorph energy (0 for the lowest one) in meV per atom: 0

Cell: 3.6237 6.2682 6.6877 Å, 117.93 105.70 90.04°
Element x y z (fractional)
Y 0.0000 0.0000 0.0000
Y 0.2463 0.9129 0.4953
Ho 0.4975 0.4961 0.9948
Er 0.7484 0.4166 0.4995

***

6.
The following is a DFT calculation (PBE) of a relaxed Cs3TlV2S8 crystal.

Properties
E_form (uncorrected) in kcal/mol of atoms: -18.84
Symmetry: No. 164
DFT total energy in eV per atom: -4.83
Magnetization in μB/cell: 0.0

Cell: 7.2411 7.2411 9.9551 Å, 90.00 90.00 120.00°
Element x y z (fractional)
Cs 0.0000 0.0000 0.0000
Cs 0.3333 0.6667 0.6684
Cs 0.6667 0.3333 0.3316
Tl 0.0000 0.0000 0.5000
V 0.3333 0.6667 0.2478
V 0.6667 0.3333 0.7522
S 0.1661 0.3323 0.3051
S 0.1661 0.8339 0.3051
S 0.3323 0.1661 0.6949
S 0.3333 0.6667 0.0363
S 0.6667 0.3333 0.9637
S 0.6677 0.8339 0.3051
S 0.8339 0.1661 0.6949
S 0.8339 0.6677 0.6949

***

7.
The following is a DFT calculation (PBE) of a relaxed Pm4ZrPa3N8 crystal.

Properties
E_form (uncorrected) in kcal/mol of atoms: -36.94
Symmetry: No. 166
DFT total energy in eV per atom: -9.27
Magnetization in μB/cell: 0.0

Cell: 7.0684 7.0684 7.0684 Å, 59.59 59.59 59.59°
Element x y z (fractional)
Pm 0.0000 0.0000 0.0000
Pm 0.0000 0.5000 0.5000
Pm 0.5000 0.0000 0.5000
Pm 0.5000 0.5000 0.0000
Zr 0.5000 0.5000 0.5000
Pa 0.0000 0.0000 0.5000
Pa 0.0000 0.5000 0.0000
Pa 0.5000 0.0000 0.0000
N 0.2396 0.2396 0.2396
N 0.2397 0.7373 0.7373
N 0.2627 0.2627 0.7603
N 0.2627 0.7603 0.2627
N 0.7373 0.2397 0.7373
N 0.7373 0.7373 0.2397
N 0.7603 0.2627 0.2627
N 0.7604 0.7604 0.7604

***

8.
The following is a DFT calculation (PBE) of a relaxed Y2AlHg crystal.

Properties
Symmetry: No. 166
DFT total energy in eV per atom: -4.53
ΔE_f in eV per atom: -0.2855
Magnetization in μB/cell: 0.0
Polymorph energy (0 for the lowest one) in meV per atom: 176

Cell: 9.3591 9.3591 9.3591 Å, 22.74 22.74 22.74°
Element x y z (fractional)
Y 0.2472 0.2472 0.2472
Y 0.7528 0.7528 0.7528
Al 0.5000 0.5000 0.5000
Hg 0.0000 0.0000 0.0000

***

9.
The following is a DFT calculation (PBE) of a relaxed AgH6S2N2 crystal.

Properties
Symmetry: No. 12
DFT total energy in eV per atom: -4.59
Magnetization in μB/cell: 0.0

Cell: 5.7603 5.7603 6.2015 Å, 114.91 114.91 65.85°
Element x y z (fractional)
Ag 0.0000 0.0000 0.0000
H 0.1747 0.4463 0.2917
H 0.2505 0.2505 0.4626
H 0.4463 0.1747 0.2917
H 0.5537 0.8253 0.7083
H 0.7495 0.7495 0.5374
H 0.8253 0.5537 0.7083
S 0.0947 0.0947 0.6798
S 0.9053 0.9053 0.3202
N 0.2514 0.2514 0.2974
N 0.7486 0.7486 0.7026

***

10.
The following is a DFT calculation (PBE) of a relaxed GaMoSN2 crystal.

Properties
E_form (uncorrected) in kcal/mol of atoms: 6.76
Symmetry: No. 123
DFT total energy in eV per atom: -6.63
Magnetization in μB/cell: 0.0
Polymorph energy (0 for the lowest one) in meV per atom: 0

Cell: 3.9021 3.9021 5.0506 Å, 90.00 90.00 90.00°
Element x y z (fractional)
Ga 0.0000 0.0000 0.0000
Mo 0.5000 0.5000 0.5000
S 0.5000 0.5000 0.0000
N 0.0000 0.5000 0.5000
N 0.5000 0.0000 0.5000

***

11.
The following is a DFT calculation (PBE) of a relaxed Nd3Sm5Th2 crystal.

Properties
Symmetry: No. 15
DFT total energy in eV per atom: -5.07
ΔE_f in eV per atom: 0.2009
Magnetization in μB/cell: 0.0

Cell: 10.4196 10.4196 9.0077 Å, 108.76 108.76 116.33°
Element x y z (fractional)
Nd 0.0194 0.2680 0.0371
Nd 0.2209 0.7791 0.7500
Nd 0.2680 0.0194 0.5371
Nd 0.7320 0.9806 0.4629
Nd 0.7791 0.2209 0.2500
Nd 0.9806 0.7320 0.9629
Sm 0.0309 0.9691 0.7500
Sm 0.1284 0.3714 0.7508
Sm 0.2804 0.7196 0.2500
Sm 0.3714 0.1284 0.2508
Sm 0.4688 0.5312 0.2500
Sm 0.5312 0.4688 0.7500
Sm 0.6286 0.8716 0.7492
Sm 0.7196 0.2804 0.7500
Sm 0.8716 0.6286 0.2492
Sm 0.9691 0.0309 0.2500
Th 0.2409 0.4877 0.4784
Th 0.4877 0.2409 0.9784
Th 0.5123 0.7591 0.0216
Th 0.7591 0.5123 0.5216

***

Please write out number 3 again, unchanged.
The following is a DFT calculation (PBE) of a relaxed Be2Sn2Pb crystal.

Properties
Symmetry: No. 127
DFT total energy in eV per atom: -3.26
ΔE_f in eV per atom: 0.5707
Magnetization in μB/cell: 0.0
Polymorph energy (0 for the lowest one) in meV per atom: 161

Cell: 8.2864 8.2864 3.0999 Å, 90.00 90.00 90.00°
Element x y z (fractional)
Be 0.1355 0.3645 0.0000
Be 0.3645 0.8645 0.0000
Be 0.6355 0.1355 0.0000
Be 0.8645 0.6355 0.0000
Sn 0.1481 0.6481 0.5000
Sn 0.3519 0.1481 0.5000
Sn 0.6481 0.8519 0.5000
Sn 0.8519 0.3519 0.5000
Pb 0.0000 0.0000 0.5000
Pb 0.5000 0.5000 0.5000